BaEr2S4 | Alexandria | GGA-PBEsol | optimized geometry; VASP energy = -0.4703 Ry per atom; symmetry = Pnma
1.0
-3.919 0.584 -0.212
-1.532 -11.492 -3.324
-1.306 -3.789 13.704
S Er Ba
16 8 4
Direct
0.750 0.919 0.922 S
0.250 0.978 0.717 S
0.750 0.522 0.217 S
0.250 0.792 0.162 S
0.250 0.081 0.078 S
0.750 0.022 0.283 S
0.750 0.125 0.523 S
0.250 0.292 0.338 S
0.750 0.208 0.838 S
0.250 0.375 0.023 S
0.250 0.875 0.477 S
0.250 0.581 0.422 S
0.250 0.478 0.783 S
0.750 0.708 0.662 S
0.750 0.625 0.977 S
0.750 0.419 0.578 S
0.750 0.422 0.898 Er
0.250 0.068 0.892 Er
0.750 0.432 0.392 Er
0.750 0.922 0.602 Er
0.250 0.078 0.398 Er
0.250 0.568 0.608 Er
0.250 0.578 0.102 Er
0.750 0.932 0.108 Er
0.750 0.758 0.338 Ba
0.250 0.242 0.662 Ba
0.750 0.258 0.162 Ba
0.250 0.742 0.838 Ba


BaAg4 | Alexandria | GGA-PBEsol | optimized geometry; N(E_F) = 0.330 states/eV per atom; VASP energy = -0.2316 Ry per atom; ΔH_f (0 K) = -0.07 eV/atom; symmetry = I-43m
1.0
-0.162 3.579 7.681
-7.317 -4.047 -1.386
6.409 -5.532 -0.405
Ag Ba
16 4
Direct
0.642 0.000 0.642 Ag
0.000 0.642 0.642 Ag
0.750 0.250 0.500 Ag
0.800 0.000 0.000 Ag
0.200 0.200 0.200 Ag
0.358 0.000 0.358 Ag
0.000 0.000 0.800 Ag
0.750 0.500 0.250 Ag
0.250 0.750 0.500 Ag
0.500 0.250 0.750 Ag
0.500 0.750 0.250 Ag
0.642 0.642 0.000 Ag
0.250 0.500 0.750 Ag
0.358 0.358 0.000 Ag
0.000 0.800 0.000 Ag
0.000 0.358 0.358 Ag
0.563 0.563 0.563 Ba
0.000 0.437 0.000 Ba
0.437 0.000 0.000 Ba
0.000 0.000 0.437 Ba


CsSb | Alexandria | GGA-PBEsol | optimized geometry; VASP energy = -0.2361 Ry per atom; symmetry = P2_12_12_1
1.0
-6.768 -1.537 -2.455
2.430 -6.729 -2.488
-2.995 -5.381 11.626
Sb Cs
8 8
Direct
0.825 0.175 0.384 Sb
0.675 0.825 0.884 Sb
0.090 0.063 0.531 Sb
0.590 0.437 0.469 Sb
0.325 0.325 0.616 Sb
0.175 0.675 0.116 Sb
0.410 0.937 0.031 Sb
0.910 0.563 0.969 Sb
0.407 0.397 0.917 Cs
0.593 0.897 0.583 Cs
0.325 0.164 0.283 Cs
0.093 0.603 0.417 Cs
0.825 0.336 0.717 Cs
0.175 0.836 0.783 Cs
0.675 0.664 0.217 Cs
0.907 0.103 0.083 Cs


no.,calculated volume (Å³/atom)
1,24.40
2,23.43
3,45.85